No. 1
First-principles (SCAN) data for a PBEsol-optimized structure of Te2As2Au, as listed in Alexandria via LeMat-Bulk.

Computed properties:
For the uncorrected formation energy, the calculation gives 0.284 eV/atom. The calculation puts the energy above the most stable polymorph in this dataset at 0 meV per atom. The calculation puts the final energy at -365.24 eV per cell. As for the volume: 23.6 Å³/atom. The space group is No. 127.

POSCAR file:
```
Te2As2Au
1.0
7.697 0.000 0.000
0.000 7.697 0.000
0.000 0.000 3.981
Te As Au
4 4 2
Direct
0.148 0.352 0.000
0.352 0.852 0.000
0.648 0.148 0.000
0.852 0.648 0.000
0.185 0.685 0.500
0.315 0.185 0.500
0.685 0.815 0.500
0.815 0.315 0.500
0.000 0.000 0.500
0.500 0.500 0.500
```

***

No. 2
First-principles (SCAN) data for a PBEsol-optimized structure of TeAs2Au, as listed in Alexandria via LeMat-Bulk.

Computed properties:
For the uncorrected formation energy, the calculation gives 0.353 eV/atom. The calculation puts the final energy at -145.38 eV per cell. As for the volume: 20.9 Å³/atom. The space group is No. 123.

POSCAR file:
```
TeAs2Au
1.0
3.669 0.000 0.000
0.000 3.669 0.000
0.000 0.000 6.210
Te As Au
1 2 1
Direct
0.000 0.000 0.000
0.500 0.500 0.300
0.500 0.500 0.700
0.000 0.000 0.500
```

***

No. 3
First-principles (SCAN) data for a PBEsol-optimized structure of TeAs2Au, as listed in Alexandria via LeMat-Bulk.

Computed properties:
For the uncorrected formation energy, the calculation gives -0.028 eV/atom. The calculation puts the final energy at -146.90 eV per cell. As for the volume: 21.7 Å³/atom. The space group is No. 10.

POSCAR file:
```
TeAs2Au
1.0
4.779 0.000 0.000
0.000 3.965 0.000
-1.562 0.000 4.590
Te As Au
1 2 1
Direct
0.000 0.000 0.000
0.248 0.500 0.695
0.752 0.500 0.305
0.500 0.000 0.500
```